Entry 1:
A plane-wave DFT calculation with PBE-GGA was carried out for a geometry-optimized CeDyPaTl structure.

Summary:
* SG: No. 216
* total DFT energy (no corrections): -5.41 eV/atom

Geometry as CIF:
```
data_CeDyPaTl
_cell_length_a 5.363
_cell_length_b 5.363
_cell_length_c 5.363
_cell_angle_alpha 60.00
_cell_angle_beta 60.00
_cell_angle_gamma 60.00
_symmetry_space_group_name_H-M 'P 1'
_symmetry_Int_Tables_number 1
_symmetry_space_group_name_Hall 'P 1'
loop_
_atom_site_label
_atom_site_fract_x
_atom_site_fract_y
_atom_site_fract_z
Ce1 0.000 0.000 0.000
Dy1 0.500 0.500 0.500
Pa1 0.750 0.750 0.750
Tl1 0.250 0.250 0.250
```

Entry 2:
A plane-wave DFT calculation with PBE-GGA was carried out for a geometry-optimized SrCdRe structure.

Summary:
* SG: No. 107
* ΔE to the lowest computed polymorph: 0.035 eV per formula unit

Geometry as CIF:
```
data_SrCdRe
_cell_length_a 7.739
_cell_length_b 7.739
_cell_length_c 7.739
_cell_angle_alpha 157.89
_cell_angle_beta 157.89
_cell_angle_gamma 31.47
_symmetry_space_group_name_H-M 'P 1'
_symmetry_Int_Tables_number 1
_symmetry_space_group_name_Hall 'P 1'
loop_
_atom_site_label
_atom_site_fract_x
_atom_site_fract_y
_atom_site_fract_z
Sr1 0.000 0.000 0.000
Cd1 0.311 0.311 0.000
Re1 0.667 0.667 0.000
```

What is the formula in the first record? CeDyPaTl